Record 1
First-principles (PBE) data for Sc2Tl2I7 after structural relaxation, as listed in Alexandria.

a = 7.9422 Å, b = 7.9422 Å, c = 7.9475 Å
α = 101.55°, β = 101.55°, γ = 67.59°
With the nearest neighbours (Å) after each atom.
Fractional coordinates of all 11 atoms:
Sc (0.2385, 0.2385, 0.0404)  6 I 2.88-3.09
Sc (0.7615, 0.7615, 0.9596)  6 I 2.88-3.09
Tl (0.2218, 0.7782, 0.5000)  4 I 3.30-3.62
Tl (0.7782, 0.2218, 0.5000)  4 I 3.30-3.62
I (0.0000, 0.0000, 0.0000)  2 Sc 3.09
I (0.0490, 0.4821, 0.7636)  2 Sc 2.96-3.00
I (0.4568, 0.4568, 0.2144)  1 Sc 2.88
I (0.4821, 0.0490, 0.7636)  2 Sc 2.96-3.00
I (0.5179, 0.9510, 0.2364)  2 Sc 2.96-3.00
I (0.5432, 0.5432, 0.7856)  1 Sc 2.88
I (0.9510, 0.5179, 0.2364)  2 Sc 2.96-3.00

Properties
Symmetry: C2/m, No. 12
Raw total energy, eV for the cell shown: -38.0
E_form (uncorrected), eV per atom: -0.8897



Record 2
First-principles (PBE) data for Sc3TlI after structural relaxation, as listed in Alexandria.

a = 5.4861 Å, b = 5.4861 Å, c = 5.4861 Å
α = 90.00°, β = 90.00°, γ = 90.00°
With the nearest neighbours (Å) after each atom.
Fractional coordinates of all 5 atoms:
Sc (0.0000, 0.0000, 0.5000)  2 Tl 2.74
Sc (0.0000, 0.5000, 0.0000)  2 Tl 2.74
Sc (0.5000, 0.0000, 0.0000)  2 Tl 2.74
Tl (0.0000, 0.0000, 0.0000)  6 Sc 2.74
I (0.5000, 0.5000, 0.5000)  12 Sc 3.88

Properties
Symmetry: Pm-3m, No. 221
Raw total energy, eV for the cell shown: -21.2
E_form (uncorrected), eV per atom: 0.3472
Excess energy over the best structure of this formula in the dataset, meV per atom: 65



Record 3
First-principles (PBE) data for ScTl2I5 after structural relaxation, as listed in Alexandria.

a = 9.4924 Å, b = 9.4924 Å, c = 15.6694 Å
α = 90.00°, β = 90.00°, γ = 143.48°
With the nearest neighbours (Å) after each atom.
Fractional coordinates of all 16 atoms:
Sc (0.1551, 0.8449, 0.7500)  6 I 2.82-2.99
Sc (0.8449, 0.1551, 0.2500)  6 I 2.82-2.99
Tl (0.1477, 0.8523, 0.0574)  5 I 3.38-3.61
Tl (0.1477, 0.8523, 0.4426)  5 I 3.38-3.61
Tl (0.8523, 0.1477, 0.5574)  5 I 3.38-3.61
Tl (0.8523, 0.1477, 0.9426)  5 I 3.38-3.61
I (0.0442, 0.9558, 0.6228)  1 Sc 2.82
I (0.0442, 0.9558, 0.8772)  1 Sc 2.82
I (0.2706, 0.7294, 0.6163)  1 Sc 2.95
I (0.2706, 0.7294, 0.8837)  1 Sc 2.95
I (0.3289, 0.6711, 0.2500)  2 Sc 2.99
I (0.6711, 0.3289, 0.7500)  2 Sc 2.99
I (0.7294, 0.2706, 0.1163)  1 Sc 2.95
I (0.7294, 0.2706, 0.3837)  1 Sc 2.95
I (0.9558, 0.0442, 0.1228)  1 Sc 2.82
I (0.9558, 0.0442, 0.3772)  1 Sc 2.82

Properties
Symmetry: Cmcm, No. 63
Raw total energy, eV for the cell shown: -51.9
E_form (uncorrected), eV per atom: -0.8930



Record 4
First-principles (PBE) data for ScTl2I6 after structural relaxation, as listed in Alexandria.

a = 3.7918 Å, b = 10.4684 Å, c = 10.4684 Å
α = 120.75°, β = 90.00°, γ = 90.00°
With the nearest neighbours (Å) after each atom.
Fractional coordinates of all 9 atoms:
Sc (0.0000, 0.0000, 0.0000)  6 I 2.91
Tl (0.5000, 0.3452, 0.6783)  6 I 3.61, 2 Tl 3.79
Tl (0.5000, 0.6783, 0.3452)  6 I 3.61, 2 Tl 3.79
I (0.0000, 0.0106, 0.4464)  4 Tl 3.61, 2 I 3.79
I (0.0000, 0.4464, 0.0106)  4 Tl 3.61, 2 I 3.79
I (0.0000, 0.5631, 0.5631)  4 Tl 3.61, 2 I 3.79
I (0.5000, 0.0003, 0.7890)  2 Sc 2.91
I (0.5000, 0.2129, 0.2129)  2 Sc 2.91
I (0.5000, 0.7890, 0.0003)  2 Sc 2.91

Properties
Symmetry: Amm2, No. 38
Raw total energy, eV for the cell shown: -26.7
E_form (uncorrected), eV per atom: -0.7043



Record 5
First-principles (PBE) data for Sc2Tl2I after structural relaxation, as listed in Alexandria.

a = 7.6632 Å, b = 7.6632 Å, c = 4.5144 Å
α = 90.00°, β = 90.00°, γ = 90.00°
With the nearest neighbours (Å) after each atom.
Fractional coordinates of all 10 atoms:
Sc (0.1533, 0.3467, 0.0000)  2 I 2.90, 6 Tl 3.12-3.23
Sc (0.3467, 0.8467, 0.0000)  2 I 2.90, 6 Tl 3.12-3.23
Sc (0.6533, 0.1533, 0.0000)  2 I 2.90, 6 Tl 3.12-3.23
Sc (0.8467, 0.6533, 0.0000)  2 I 2.90, 6 Tl 3.12-3.23
Tl (0.1482, 0.6482, 0.5000)  6 Sc 3.12-3.23, 1 Tl 3.21
Tl (0.3518, 0.1482, 0.5000)  6 Sc 3.12-3.23, 1 Tl 3.21
Tl (0.6482, 0.8518, 0.5000)  6 Sc 3.12-3.23, 1 Tl 3.21
Tl (0.8518, 0.3518, 0.5000)  6 Sc 3.12-3.23, 1 Tl 3.21
I (0.0000, 0.0000, 0.0000)  4 Sc 2.90
I (0.5000, 0.5000, 0.0000)  4 Sc 2.90

Properties
Symmetry: P4/mbm, No. 127
Raw total energy, eV for the cell shown: -41.0
E_form (uncorrected), eV per atom: -0.3098



Record 6
First-principles (PBE) data for ScTlI2 after structural relaxation, as listed in Alexandria.

a = 7.8797 Å, b = 7.8797 Å, c = 7.8797 Å
α = 98.95°, β = 98.95°, γ = 133.54°
With the nearest neighbours (Å) after each atom.
Fractional coordinates of all 8 atoms:
Sc (0.0000, 0.0000, 0.0000)  4 I 2.90, 2 Tl 3.11
Sc (0.7500, 0.2500, 0.5000)  4 I 2.90, 2 Tl 3.11
Tl (0.2500, 0.7500, 0.5000)  2 Sc 3.11
Tl (0.5000, 0.5000, 0.0000)  2 Sc 3.11
I (0.3750, 0.2350, 0.3600)  2 Sc 2.90
I (0.7650, 0.1250, 0.1400)  2 Sc 2.90
I (0.8750, 0.0150, 0.6400)  2 Sc 2.90
I (0.9850, 0.6250, 0.8600)  2 Sc 2.90

Properties
Symmetry: I-42d, No. 122
Raw total energy, eV for the cell shown: -28.0
E_form (uncorrected), eV per atom: -0.5452
Excess energy over the best structure of this formula in the dataset, meV per atom: 158